No. 1
Compound: Dy4P3S
Source: Alexandria
Functional: PBE-GGA
Structure: relaxed

Lattice parameters (Å, degrees): 6.8990 6.8990 6.8990 131.82 131.82 70.51
Last column: nearest neighbours and their distance in Å.
Sites, in units of the cell vectors:
Dy 0.0000 0.5000 0.5000  2 S 2.82, 4 P 2.82
Dy 0.2471 0.2471 0.0000  5 P 2.78-2.82, 1 S 2.85
Dy 0.5000 0.0000 0.5000  2 S 2.82, 4 P 2.82
Dy 0.7529 0.7529 0.0000  5 P 2.78-2.82, 1 S 2.85
P 0.0000 0.0000 0.0000  6 Dy 2.78-2.82
P 0.2500 0.7500 0.5000  6 Dy 2.82
P 0.7500 0.2500 0.5000  6 Dy 2.82
S 0.5000 0.5000 0.0000  6 Dy 2.82-2.85

Calculated values
Formation energy without anion corrections = -170.8 kJ/mol of atoms

=====

No. 2
Compound: Tb3Ir2Rh2
Source: Alexandria
Functional: PBE-GGA
Structure: relaxed

Lattice parameters (Å, degrees): 3.9026 5.2982 7.3413 90.73 90.22 111.41
Last column: nearest neighbours and their distance in Å.
Sites, in units of the cell vectors:
Tb 0.0000 0.0000 0.0000  2 Rh 2.74, 4 Ir 2.88-2.89
Tb 0.3554 0.7115 0.3366  5 Rh 2.73-3.04, 2 Ir 2.93-2.94
Tb 0.6446 0.2885 0.6634  5 Rh 2.73-3.04, 2 Ir 2.93-2.94
Ir 0.3081 0.6096 0.8738  2 Rh 2.83-2.85, 5 Tb 2.88-3.16, 2 Ir 2.89-2.94
Ir 0.6919 0.3904 0.1262  2 Rh 2.83-2.85, 5 Tb 2.88-3.16, 2 Ir 2.89-2.94
Rh 0.0822 0.1601 0.3585  1 Rh 2.63, 3 Tb 2.73-2.94, 2 Ir 2.83-2.85
Rh 0.9178 0.8399 0.6415  1 Rh 2.63, 3 Tb 2.73-2.94, 2 Ir 2.83-2.85

Calculated values
ΔE_f = -580 meV per atom

=====

No. 3
Compound: Ac2MgSn3Rh4
Source: Alexandria
Functional: PBE-GGA
Structure: relaxed

Lattice parameters (Å, degrees): 4.4791 4.4791 11.2864 90.00 90.00 90.00
Last column: nearest neighbours and their distance in Å.
Sites, in units of the cell vectors:
Ac 0.0000 0.5000 0.2490  8 Rh 3.42-3.59, 6 Sn 3.46-3.61, 2 Mg 3.61
Ac 0.5000 0.0000 0.7510  8 Rh 3.42-3.59, 6 Sn 3.46-3.61, 2 Mg 3.61
Mg 0.0000 0.0000 0.5000  4 Rh 2.72
Sn 0.0000 0.5000 0.8743  5 Rh 2.65-2.68
Sn 0.5000 0.0000 0.1257  5 Rh 2.65-2.68
Sn 0.5000 0.5000 0.5000  4 Rh 2.72
Rh 0.0000 0.0000 0.0000  4 Sn 2.65
Rh 0.0000 0.5000 0.6368  3 Sn 2.68-2.72, 2 Mg 2.72
Rh 0.5000 0.0000 0.3632  3 Sn 2.68-2.72, 2 Mg 2.72
Rh 0.5000 0.5000 0.0000  4 Sn 2.65

Calculated values
ΔE_f = -716 meV per atom

=====

Per-record VASP energy, eV for the cell shown: -52.93, -50.38, -58.38